Record 1
Material: Zn2FeRh2
Method: DFT, PBE
State: relaxed

Computed properties:
SG: P4/mbm (127)
Excess energy over the best structure of this formula in the dataset, meV/atom: 0
ρ, kg/m³: 8873
E_form, eV per atom: -0.0682
DOS at the Fermi energy, states/eV per cell: 5.1
Volume, Å³/cell: 146.9

```
Zn2FeRh2
1.0
-4.2405 4.7545 -2.4472
1.6675 -1.7918 -6.3706
-2.3479 -2.1055 -0.0224
Fe Rh Zn
2 4 4
direct
0.0000 0.0000 0.0000
0.5000 0.5000 0.0000
0.1442 0.3558 0.0000
0.6442 0.1442 0.0000
0.3558 0.8558 0.0000
0.8558 0.6442 0.0000
0.3446 0.1554 0.5000
0.1554 0.6554 0.5000
0.8446 0.3446 0.5000
0.6554 0.8446 0.5000
```

---

Record 2
Material: ZnFe3Rh
Method: DFT, PBE
State: relaxed

Computed properties:
SG: Pm-3m (221)
Excess energy over the best structure of this formula in the dataset, meV/atom: 0
ρ, kg/m³: 5686
E_form, eV per atom: 1.1748
DOS at the Fermi energy, states/eV per cell: 5.0
Volume, Å³/cell: 98.1

```
ZnFe3Rh
1.0
4.6118 0.0000 0.0000
0.0000 4.6118 0.0000
0.0000 0.0000 4.6118
Rh Zn Fe
1 1 3
direct
0.0000 0.0000 0.0000
0.5000 0.5000 0.5000
0.0000 0.5000 0.0000
0.0000 0.0000 0.5000
0.5000 0.0000 0.0000
```

---

Copy entry 2 word for word.
Material: ZnFe3Rh
Method: DFT, PBE
State: relaxed

Computed properties:
SG: Pm-3m (221)
Excess energy over the best structure of this formula in the dataset, meV/atom: 0
ρ, kg/m³: 5686
E_form, eV per atom: 1.1748
DOS at the Fermi energy, states/eV per cell: 5.0
Volume, Å³/cell: 98.1

```
ZnFe3Rh
1.0
4.6118 0.0000 0.0000
0.0000 4.6118 0.0000
0.0000 0.0000 4.6118
Rh Zn Fe
1 1 3
direct
0.0000 0.0000 0.0000
0.5000 0.5000 0.5000
0.0000 0.5000 0.0000
0.0000 0.0000 0.5000
0.5000 0.0000 0.0000
```

---

Q: Which value of DOS at the Fermi energy does entry 1 give?
A: 5.1 states/eV per cell